Material: ZnH6Rh
Method: DFT, PBE
State: optimized geometry

Structure (CIF):
```
data_ZnH6Rh
_cell_length_a 3.879
_cell_length_b 10.504
_cell_length_c 4.926
_cell_angle_alpha 90.00
_cell_angle_beta 93.45
_cell_angle_gamma 90.00
_space_group_name_H-M_alt 'C 1 2/m 1'
_space_group_IT_number 12
loop_
_space_group_symop_operation_xyz
'x,y,z'
'-x,-y,-z'
'-x,y,-z'
'x,-y,z'
'x+1/2,y+1/2,z'
'-x+1/2,-y+1/2,-z'
'-x+1/2,y+1/2,-z'
'x+1/2,-y+1/2,z'
loop_
_atom_site_label
_atom_site_fract_x
_atom_site_fract_y
_atom_site_fract_z
Zn1 0.000 0.000 0.000
H1 0.007 0.123 0.718
H2 0.046 0.500 0.419
Rh1 0.000 0.000 0.500
```

Properties
Electronic total energy ... -56.19 eV/cell
Total moment ... 0.00 μB per formula unit